VASP calculation (PBE-GGA) on an optimized crystal structure of K2Cu2SnBr6.

Structure (CIF):
```
data_K2Cu2SnBr6
_chemical_formula_sum 'K4 Cu4 Sn2 Br12'
_cell_length_a 13.4003
_cell_length_b 7.9405
_cell_length_c 7.9958
_cell_angle_alpha 90.00
_cell_angle_beta 120.35
_cell_angle_gamma 90.00
_symmetry_space_group_name_H-M 'C 1 2/m 1'
_symmetry_Int_Tables_number 12
loop_
_symmetry_equiv_pos_as_xyz
'x,y,z'
'-x,-y,-z'
'-x,y,-z'
'x,-y,z'
'x+1/2,y+1/2,z'
'-x+1/2,-y+1/2,-z'
'-x+1/2,y+1/2,-z'
'x+1/2,-y+1/2,z'
loop_
_atom_site_label
_atom_site_fract_x
_atom_site_fract_y
_atom_site_fract_z
K1 0.2333 0.0000 0.2007
Cu1 0.0414 0.5000 0.1921
Sn1 0.0000 0.0000 0.5000
Br1 0.0625 0.2511 0.8187
Br2 0.2486 0.5000 0.3725
```

Properties
magnetic moment: 0.000 μB per atom
electronic total energy: -69.09 eV for the cell shown
ΔE_f (raw): -920.0 meV per atom
calculated density: 3.63 g/cm³